# K4Tl | Alexandria via LeMat-Bulk | PBE | optimized geometry
# crystal system = monoclinic
# space-group type = P2/c
# E_tot = -6.759 eV/f.u.
# formation energy = -0.5 meV per atom
data_K4Tl
_space_group_name_H-M_alt 'P 1'
_space_group_IT_number 1
_space_group_name_Hall 'P 1'
_cell_length_a 8.4060
_cell_length_b 12.3535
_cell_length_c 6.0379
_cell_angle_alpha 90.00
_cell_angle_beta 110.96
_cell_angle_gamma 90.00
loop_
_atom_site_label
_atom_site_type_symbol
_atom_site_fract_x
_atom_site_fract_y
_atom_site_fract_z
_atom_site_occupancy
K1 K 0.2226 0.1338 0.1105 1
K2 K 0.2226 0.8662 0.6105 1
K3 K 0.2388 0.3710 0.6164 1
K4 K 0.2388 0.6290 0.1164 1
K5 K 0.7612 0.3710 0.8836 1
K6 K 0.7612 0.6290 0.3836 1
K7 K 0.7774 0.1338 0.3895 1
K8 K 0.7774 0.8662 0.8895 1
Tl1 Tl 0.5000 0.0941 0.7500 1
Tl2 Tl 0.5000 0.9059 0.2500 1